Below is a relaxed structure of Pm3HoIn3, with properties calculated at the PBE level.

Lattice parameters (Å, degrees): 6.730 6.730 9.828 90.97 90.97 104.91
Fractional coordinates of all 14 atoms:
1 Pm 0.591 0.591 0.318
2 Pm 0.409 0.409 0.682
3 Pm 0.767 0.233 0.000
4 Pm 0.233 0.767 0.000
5 Pm 0.181 0.819 0.500
6 Pm 0.819 0.181 0.500
7 In 0.023 0.023 0.767
8 In 0.518 0.951 0.741
9 In 0.049 0.482 0.259
10 In 0.977 0.977 0.233
11 In 0.951 0.518 0.741
12 In 0.482 0.049 0.259
13 Ho 0.283 0.283 0.039
14 Ho 0.717 0.717 0.961

Spin magnetization = 0.0 μB per formula unit
Formation energy from the elements = -275 meV/atom
SG = C2/m (12)
Energy relative to the lowest polymorph listed for this composition = 1.25 kcal/mol of atoms

Below is a relaxed structure of Pm5Ho2In, with properties calculated at the PBE level.

Lattice parameters (Å, degrees): 7.596 7.596 6.918 123.30 123.29 90.02
Fractional coordinates of all 8 atoms:
1 Pm 0.241 0.241 0.938
2 Pm 0.697 0.241 0.938
3 Pm 0.697 0.697 0.938
4 Pm 0.771 0.771 0.542
5 Pm 0.241 0.697 0.938
6 Ho 0.719 0.219 0.437
7 Ho 0.219 0.718 0.437
8 In 0.193 0.193 0.386

Spin magnetization = 0.0 μB per formula unit
Formation energy from the elements = -60 meV/atom
SG = I4mm (107)
Energy relative to the lowest polymorph listed for this composition = 0.00 kcal/mol of atoms

Below is a relaxed structure of Pm9Ho4In11, with properties calculated at the PBE level.

Lattice parameters (Å, degrees): 13.975 13.975 3.520 90.00 90.00 99.57
Fractional coordinates of all 24 atoms:
1 In 0.000 0.000 0.000
2 In 0.932 0.580 0.000
3 In 0.636 0.364 0.000
4 In 0.239 0.239 0.000
5 In 0.832 0.168 0.000
6 In 0.364 0.636 0.000
7 In 0.168 0.832 0.000
8 In 0.420 0.068 0.000
9 In 0.580 0.932 0.000
10 In 0.068 0.420 0.000
11 In 0.761 0.761 0.000
12 Ho 0.432 0.263 0.500
13 Ho 0.737 0.568 0.500
14 Ho 0.263 0.432 0.500
15 Ho 0.568 0.737 0.500
16 Pm 0.035 0.209 0.500
17 Pm 0.626 0.143 0.500
18 Pm 0.374 0.857 0.500
19 Pm 0.791 0.965 0.500
20 Pm 0.500 0.500 0.500
21 Pm 0.209 0.035 0.500
22 Pm 0.143 0.626 0.500
23 Pm 0.857 0.374 0.500
24 Pm 0.965 0.791 0.500

Spin magnetization = 0.0 μB per formula unit
Formation energy from the elements = -406 meV/atom
SG = Cmmm (65)

Among the records above, which one has the lowest formation energy from the elements? Pm9Ho4In11